Here is a relaxed Ba2IOF crystal from the Alexandria database. Energies are from GGA-PBE.

Properties
The uncorrected formation energy is -0.914 eV per atom. As for the excess energy over the best structure of this formula in the dataset: 1844 meV/atom. The value obtained for the total energy is -16.797 eV for the cell shown.

Unit cell a=6.332 b=6.332 c=4.974 alpha=90.00 beta=90.00 gamma=90.00
Space group P4/mmm (No. 123)
Symmetry-distinct sites (fractional):
Ba 0.000 0.500 0.000 (multiplicity 2)
I 0.000 0.000 0.000 (multiplicity 1)
O 0.500 0.500 0.500 (multiplicity 1)
F 0.000 0.000 0.500 (multiplicity 1)



Here is a relaxed Ba3IO6F2 crystal from the Alexandria database. Energies are from GGA-PBE.

Properties
The uncorrected formation energy is -1.905 eV per atom. The value obtained for the total energy is -127.342 eV for the cell shown.

Unit cell a=13.113 b=7.218 c=5.329 alpha=90.00 beta=90.30 gamma=90.00
Space group C2/m (No. 12)
Symmetry-distinct sites (fractional):
Ba 0.000 0.000 0.000 (multiplicity 2)
Ba 0.250 0.250 0.500 (multiplicity 4)
I 0.000 0.500 0.500 (multiplicity 2)
O 0.058 0.304 0.701 (multiplicity 8)
O 0.122 0.500 0.311 (multiplicity 4)
F 0.179 0.000 0.198 (multiplicity 4)



Here is a relaxed Ba2IO2F4 crystal from the Alexandria database. Energies are from GGA-PBE.

Properties
The uncorrected formation energy is -2.320 eV per atom. The value obtained for the total energy is -87.360 eV for the cell shown.

Unit cell a=10.472 b=7.034 c=4.300 alpha=90.00 beta=90.03 gamma=90.00
Space group C2/m (No. 12)
Symmetry-distinct sites (fractional):
Ba 0.168 0.000 0.227 (multiplicity 4)
I 0.000 0.500 0.500 (multiplicity 2)
O 0.155 0.500 0.245 (multiplicity 4)
F 0.091 0.202 0.726 (multiplicity 8)



Here is a relaxed Ba2IOF crystal from the Alexandria database. Energies are from GGA-PBE.

Properties
The uncorrected formation energy is -2.759 eV per atom. As for the excess energy over the best structure of this formula in the dataset: 0 meV/atom. The value obtained for the total energy is -104.075 eV for the cell shown.

Unit cell a=14.593 b=4.423 c=10.923 alpha=90.00 beta=121.30 gamma=90.00
Space group C2/m (No. 12)
Symmetry-distinct sites (fractional):
Ba 0.041 0.000 0.301 (multiplicity 4)
Ba 0.152 0.500 0.061 (multiplicity 4)
I 0.170 0.500 0.631 (multiplicity 4)
O 0.036 0.500 0.175 (multiplicity 4)
F 0.154 0.000 0.933 (multiplicity 4)



Here is a relaxed BaI2O6F crystal from the Alexandria database. Energies are from GGA-PBE.

Properties
The uncorrected formation energy is -0.983 eV per atom. The value obtained for the total energy is -185.887 eV for the cell shown.

Unit cell a=11.869 b=9.560 c=8.567 alpha=90.00 beta=127.54 gamma=90.00
Space group C2/c (No. 15)
Symmetry-distinct sites (fractional):
Ba 0.000 0.050 0.250 (multiplicity 4)
I 0.129 0.393 0.677 (multiplicity 8)
O 0.112 0.448 0.030 (multiplicity 8)
O 0.125 0.259 0.527 (multiplicity 8)
O 0.177 0.074 0.144 (multiplicity 8)
F 0.000 0.221 0.750 (multiplicity 4)



Here is a relaxed Ba6P2I3F crystal from the Alexandria database. Energies are from GGA-PBE.

Properties
The uncorrected formation energy is -1.588 eV per atom. The value obtained for the total energy is -95.860 eV for the cell shown.

Unit cell a=7.986 b=13.822 c=8.714 alpha=90.00 beta=107.83 gamma=90.00
Space group C2/m (No. 12)
Symmetry-distinct sites (fractional):
Ba 0.233 0.166 0.202 (multiplicity 8)
Ba 0.235 0.500 0.204 (multiplicity 4)
P 0.000 0.334 0.000 (multiplicity 4)
I 0.000 0.170 0.500 (multiplicity 4)
I 0.000 0.500 0.500 (multiplicity 2)
F 0.000 0.000 0.000 (multiplicity 2)